{"formula": "SrCaLa2Zn", "functional": "PBE-GGA", "state": "optimized geometry", "sg": "P1 (1)", "relative_energy_kcal_per_mol_atoms": 1.599, "total_magnetization_mub_per_fu": 0.0, "cell": [[3.881, -0.009, -0.004], [-1.925, 6.236, -0.022], [-1.939, -1.236, 7.662]], "species": ["Sr", "Zn", "Ca", "La", "La"], "fractional_positions": [[0.319, 0.278, 0.243], [0.640, 0.862, 0.300], [0.896, 0.692, 0.982], [0.990, 0.178, 0.690], [0.205, 0.720, 0.571]]}

{"formula": "SrCaLa2Zn", "functional": "PBE-GGA", "state": "optimized geometry", "sg": "R3m (160)", "relative_energy_kcal_per_mol_atoms": 2.789, "total_magnetization_mub_per_fu": 0.0, "cell": [[-1.739, 6.617, -0.357], [-4.395, -1.348, -3.577], [-4.059, -5.809, 7.176]], "species": ["Sr", "Sr", "Zn", "Zn", "Ca", "Ca", "La", "La", "La", "La"], "fractional_positions": [[0.120, 0.000, 0.778], [0.120, 0.500, 0.278], [0.950, 0.000, 0.388], [0.950, 0.500, 0.888], [0.483, 0.000, 0.565], [0.483, 0.500, 0.065], [0.797, 0.000, 0.004], [0.797, 0.500, 0.504], [0.435, 0.000, 0.216], [0.435, 0.500, 0.716]]}

{"formula": "SrCaLa2Zn", "functional": "PBE-GGA", "state": "optimized geometry", "sg": "Cm (8)", "relative_energy_kcal_per_mol_atoms": 0.175, "total_magnetization_mub_per_fu": 0.0, "cell": [[-3.663, 0.522, 1.015], [-3.682, -0.130, -5.959], [-2.655, -6.583, 1.046]], "species": ["Sr", "Zn", "Ca", "La", "La"], "fractional_positions": [[0.436, 0.292, 0.795], [0.019, 0.929, 0.991], [0.767, 0.771, 0.654], [0.263, 0.126, 0.307], [0.575, 0.611, 0.198]]}

{"formula": "SrCaLa2Zn", "functional": "PBE-GGA", "state": "optimized geometry", "sg": "Pmm2 (25)", "relative_energy_kcal_per_mol_atoms": 0.598, "total_magnetization_mub_per_fu": 0.0, "cell": [[5.617, 0.000, 0.000], [0.000, 3.752, 0.000], [0.000, 0.000, 8.599]], "species": ["Sr", "Zn", "Ca", "La", "La"], "fractional_positions": [[0.000, 0.000, 0.901], [0.500, 0.500, 0.901], [0.500, 0.000, 0.602], [0.000, 0.500, 0.350], [0.500, 0.000, 0.191]]}

{"formula": "SrCa2LaZn", "functional": "PBE-GGA", "state": "optimized geometry", "sg": "P4/mmm (123)", "total_magnetization_mub_per_fu": 0.0, "cell": [[-0.439, -5.875, -0.592], [1.349, -0.677, 5.726], [-5.661, 0.285, 1.368]], "species": ["Sr", "Zn", "Ca", "Ca", "La"], "fractional_positions": [[0.500, 0.500, 0.500], [0.000, 0.000, 0.000], [0.000, 0.500, 0.000], [0.500, 0.000, 0.000], [0.000, 0.000, 0.500]]}

{"formula": "SrCaLa2Zn", "functional": "PBE-GGA", "state": "optimized geometry", "sg": "Cm (8)", "relative_energy_kcal_per_mol_atoms": 2.072, "total_magnetization_mub_per_fu": 0.0, "cell": [[-3.352, -5.733, -5.051], [1.936, -2.730, 1.814], [-5.804, 4.083, 12.340]], "species": ["Sr", "Sr", "Zn", "Zn", "Ca", "Ca", "La", "La", "La", "La"], "fractional_positions": [[0.951, 0.000, 0.950], [0.951, 0.500, 0.450], [0.087, 0.000, 0.676], [0.087, 0.500, 0.176], [0.356, 0.000, 0.383], [0.356, 0.500, 0.883], [0.776, 0.000, 0.154], [0.776, 0.500, 0.654], [0.446, 0.000, 0.674], [0.446, 0.500, 0.174]]}

| no. | DFT formation energy (eV per atom) |
| --- | --- |
| 1 | 0.016 |
| 2 | 0.067 |
| 3 | -0.046 |
| 4 | -0.028 |
| 5 | 0.029 |
| 6 | 0.036 |